Computed, not measured: an optimized crystal structure of Nd2CoSbO6 at the GGA+U level of DFT.

Cell lengths 5.599, 5.917, 8.125 Å; angles 90.00, 88.87, 90.00 degrees
Last column: magnetic moment on the atom in μB.
Element x y z (fractional)
1 Sb 0.000 0.500 0.000  -0.14
2 O 0.194 0.197 0.442  -0.03
3 O 0.695 0.299 0.563  -0.02
4 Nd 0.522 0.566 0.752  0.00
5 O 0.305 0.701 0.437  -0.02
6 Co 0.500 0.000 0.000  2.58
7 O 0.882 0.545 0.250  -0.03
8 O 0.195 0.201 0.063  -0.02
9 Nd 0.022 0.934 0.252  0.00
10 Nd 0.478 0.434 0.248  0.00
11 O 0.118 0.455 0.750  -0.03
12 Nd 0.978 0.066 0.748  0.00
13 O 0.382 0.955 0.750  -0.03
14 Sb 0.500 0.000 0.500  -0.14
15 O 0.806 0.803 0.558  -0.03
16 O 0.618 0.045 0.250  -0.03
17 O 0.805 0.799 0.937  -0.02
18 Co 0.000 0.500 0.500  2.58
19 O 0.694 0.303 0.942  -0.03
20 O 0.306 0.697 0.058  -0.03

SG: P2_1/c, No. 14
Final energy in eV/atom: -7.1084
DOS at the Fermi energy in states/eV/cell: 4.3
Density in g cm⁻³: 7.0